# SmTl2CuCl6, relaxed, DFT PBE
# VASP energy (eV per cell): -76.497
# Spin magnetization (μB/f.u.): 0.01
data_SmTl2CuCl6
_cell_length_a 14.086
_cell_length_b 7.138
_cell_length_c 6.590
_cell_angle_alpha 90.00
_cell_angle_beta 112.03
_cell_angle_gamma 90.00
_space_group_name_H-M_alt 'C 1 2/m 1'
_space_group_IT_number 12
loop_
_space_group_symop_operation_xyz
'x,y,z'
'-x,-y,-z'
'-x,y,-z'
'x,-y,z'
'x+1/2,y+1/2,z'
'-x+1/2,-y+1/2,-z'
'-x+1/2,y+1/2,-z'
'x+1/2,-y+1/2,z'
loop_
_atom_site_label
_atom_site_type_symbol
_atom_site_fract_x
_atom_site_fract_y
_atom_site_fract_z
Sm1 Sm 0.000 0.000 0.000
Tl1 Tl 0.241 0.500 0.198
Cu1 Cu 0.000 0.500 0.500
Cl1 Cl 0.064 0.264 0.780
Cl2 Cl 0.196 0.000 0.287